BiIrOs2Pd: optimized geometry, PBE.

The space group is P4/mmm (No. 123) and the conventional cell measures 4.9386, 4.9386 and 4.8259 Å, with angles of 90.00, 90.00 and 90.00 degrees. The inequivalent atoms are Bi at (0.0000, 0.0000, 0.0000), Ir at (0.5000, 0.5000, 0.5000), Os at (0.0000, 0.5000, 0.0000) and Pd at (0.0000, 0.0000, 0.5000).

Its crystal system is tetragonal. The value obtained for the total magnetization is 2.90 μB per cell. Its calculated volume is 118 Å³/f.u. Its energy relative to the elements is 2828 meV/atom.

---

Th4Bi2IrOs: optimized geometry, PBE.

The space group is P2/m (No. 10) and the conventional cell measures 7.3960, 4.2647 and 7.9314 Å, with angles of 90.00, 108.02 and 90.00 degrees. The inequivalent atoms are Th at (0.2298, 0.0000, 0.2029), Th at (0.2620, 0.5000, 0.7972), Bi at (0.0000, 0.0000, 0.5000), Bi at (0.5000, 0.5000, 0.5000), Ir at (0.5000, 0.0000, 0.0000) and Os at (0.0000, 0.5000, 0.0000).

Its crystal system is monoclinic. The value obtained for the total magnetization is 0.00 μB per cell. Its calculated volume is 238 Å³/f.u. Its energy relative to the elements is -636 meV/atom.

---

Th3BiIrOs: optimized geometry, PBE.

The space group is P2_1/m (No. 11) and the conventional cell measures 8.5304, 4.3657 and 9.9176 Å, with angles of 90.00, 113.62 and 90.00 degrees. The inequivalent atoms are Th at (0.1550, 0.2500, 0.1471), Th at (0.2351, 0.7500, 0.4792), Th at (0.2942, 0.7500, 0.8703), Bi at (0.4909, 0.7500, 0.2669), Ir at (0.0613, 0.2500, 0.8362) and Os at (0.0068, 0.7500, 0.6119).

Its crystal system is monoclinic. The value obtained for the total magnetization is 0.00 μB per cell. Its calculated volume is 169 Å³/f.u. Its energy relative to the elements is -535 meV/atom.